VASP calculation (PBE with a Hubbard U) on a relaxed Li2NiP2O7 crystal.

* Fermi-level density of states: 0.000 states/eV per atom
* excess energy over the best structure of this formula in the dataset: 57 meV per atom
* M_tot: 4.00 μB/cell
* E_tot: -6.404 eV/atom

Unit cell a=6.834 b=6.930 c=8.137 alpha=115.20 beta=114.83 gamma=90.00
Site moments in Bohr magnetons follow the coordinates.
Fractional coordinates of all 24 atoms:
Li  0.270  0.770  0.040  0.00
Li  0.730  0.230  0.960  0.00
Li  0.270  0.270  0.040  0.00
Li  0.730  0.730  0.960  0.00
O  0.573  0.955  0.278  0.04
O  0.226  0.943  0.886  0.01
O  0.774  0.057  0.114  0.01
O  0.927  0.250  0.500  0.00
O  0.427  0.045  0.722  0.04
O  0.160  0.443  0.886  0.01
O  0.205  0.455  0.278  0.04
O  0.840  0.557  0.114  0.01
O  0.795  0.545  0.722  0.04
O  0.573  0.322  0.278  0.04
O  0.205  0.822  0.278  0.04
O  0.795  0.178  0.722  0.04
O  0.073  0.750  0.500  0.00
O  0.427  0.678  0.722  0.04
P  0.296  0.860  0.720  0.00
P  0.704  0.140  0.280  0.00
P  0.077  0.640  0.280  0.00
P  0.923  0.360  0.720  0.00
Ni  0.500  0.000  0.500  1.77
Ni  0.500  0.500  0.500  1.77

---

VASP calculation (PBE with a Hubbard U) on a relaxed CePaMnO6 crystal.

* Fermi-level density of states: 0.363 states/eV per atom
* M_tot: 8.00 μB/cell
* E_tot: -8.509 eV/atom

Unit cell a=5.844 b=5.844 c=8.652 alpha=90.00 beta=90.00 gamma=120.00
Site moments in Bohr magnetons follow the coordinates.
Fractional coordinates of all 18 atoms:
O  0.335  0.012  0.628  -0.09
O  0.335  0.322  0.872  -0.09
O  0.012  0.335  0.128  -0.09
O  0.665  0.678  0.128  -0.09
O  0.988  0.665  0.872  -0.09
O  0.665  0.988  0.372  -0.09
O  0.322  0.335  0.372  -0.09
O  0.678  0.665  0.628  -0.09
O  0.012  0.678  0.372  -0.09
O  0.988  0.322  0.628  -0.09
O  0.322  0.988  0.128  -0.09
O  0.678  0.012  0.872  -0.09
Mn  0.000  0.000  0.000  4.36
Mn  0.000  0.000  0.500  4.36
Ce  0.667  0.333  0.250  0.06
Ce  0.333  0.667  0.750  0.06
Pa  0.333  0.667  0.250  0.02
Pa  0.667  0.333  0.750  0.02